! Li2TlW (PBE-GGA, relaxed); values from VASP
&SYSTEM
  ibrav = 0, nat = 4, ntyp = 3
/
ATOMIC_SPECIES
Li 6.94 Li.upf
Tl 204.38 Tl.upf
W 183.84 W.upf
ATOMIC_POSITIONS crystal
Li 0.0000 0.5000 0.0000
Li 0.5000 0.0000 0.0000
Tl 0.0000 0.0000 0.5000
W 0.5000 0.5000 0.5000
CELL_PARAMETERS angstrom
4.0253 0.0000 0.0000
0.0000 4.0253 0.0000
0.0000 0.0000 4.1017
! energy relative to the lowest polymorph listed for this composition	79.7	kJ/mol of formula units
! Fermi-level density of states	2.2	states/eV per cell
! mass density	10.0	g cm⁻³
! space-group type	P4/mmm
! total energy	-0.1532	hartree per atom
! crystal system	tetragonal
! total magnetic moment	0.00	μB per formula unit
! ΔE_f	617	meV/atom